## NaEr2Zn (PBE-GGA)

Data for a relaxed NaEr2Zn crystal.

Calculated values
As for the distance to the lowest polymorph of the same formula: 0.1164 eV/atom. As for the crystal system: trigonal. The calculation puts the density of states at the Fermi level at 1.001 states/eV/atom. For the uncorrected energy, the calculation gives -2.83 eV per atom.

Unit cell a=3.463 b=3.463 c=11.600 alpha=81.42 beta=81.42 gamma=60.00
Sites, in units of the cell vectors:
Na  0.000  0.000  0.000
Zn  0.500  0.500  0.500
Er  0.103  0.103  0.692
Er  0.897  0.897  0.308